A plane-wave DFT calculation with PBE with a Hubbard U was carried out for a relaxed V2AgPdO8 crystal.

a b c (Å): 5.6770 5.6770 6.1809
angles (deg): 90.00 90.00 120.00
Closest atoms and distances in Å follow each position.
Atoms (fractional coordinates):
V (0.6667, 0.3333, 0.2756)  4 O 1.63-1.79
V (0.3333, 0.6667, 0.7244)  4 O 1.63-1.79
Ag (0.0000, 0.0000, 0.5000)  6 O 2.38
Pd (0.0000, 0.0000, 0.0000)  6 O 2.00
O (0.8437, 0.1563, 0.2068)  1 V 1.79, 1 Pd 2.00
O (0.8437, 0.6874, 0.2068)  1 V 1.79, 1 Pd 2.00
O (0.3126, 0.1563, 0.2068)  1 V 1.79, 1 Pd 2.00
O (0.6874, 0.8437, 0.7932)  1 V 1.79, 1 Pd 2.00
O (0.3333, 0.6667, 0.4601)  1 V 1.63
O (0.6667, 0.3333, 0.5399)  1 V 1.63
O (0.1563, 0.8437, 0.7932)  1 V 1.79, 1 Pd 2.00
O (0.1563, 0.3126, 0.7932)  1 V 1.79, 1 Pd 2.00

Summary:
For the uncorrected energy, the calculation gives -74.41 eV per cell. As for the size of the total moment: 0.090 μB/atom. The value obtained for the density of states at the Fermi level is 6.41 states/eV/cell.